1.
A plane-wave DFT calculation with GGA-PBE was carried out for Tb4BiTe2As after structural relaxation.

The value obtained for the total magnetic moment is 0.00 μB per formula unit. The formation energy from raw total energies is -124.7 kJ/mol of atoms. Its space-group type is P2/m, No. 10.

Unit cell a=4.325 b=7.544 c=7.575 alpha=70.78 beta=90.00 gamma=90.00
Positions (direct):
1 Tb 0.000 0.736 0.736
2 Te 0.500 0.000 0.500
3 Te 0.000 0.000 0.000
4 Tb 0.000 0.264 0.264
5 Tb 0.500 0.274 0.726
6 Bi 0.500 0.500 0.000
7 As 0.000 0.500 0.500
8 Tb 0.500 0.726 0.274

---

2.
A plane-wave DFT calculation with GGA-PBE was carried out for Tb6Bi2TeAs3 after structural relaxation.

The value obtained for the total magnetic moment is 0.00 μB per formula unit. The formation energy from raw total energies is -125.8 kJ/mol of atoms. Its space-group type is C2/m, No. 12.

Unit cell a=4.269 b=8.645 c=9.630 alpha=103.91 beta=102.81 gamma=90.00
Positions (direct):
1 As 0.166 0.834 0.332
2 Tb 0.339 0.404 0.677
3 Tb 0.005 0.734 0.011
4 As 0.500 0.500 0.000
5 Tb 0.995 0.266 0.989
6 Tb 0.672 0.070 0.345
7 Te 0.500 0.000 0.000
8 Bi 0.834 0.668 0.668
9 Tb 0.328 0.930 0.655
10 As 0.834 0.166 0.668
11 Bi 0.166 0.332 0.332
12 Tb 0.661 0.596 0.323

---

3.
A plane-wave DFT calculation with GGA-PBE was carried out for TbTmBiAs after structural relaxation.

The value obtained for the total magnetic moment is 0.00 μB per formula unit. As for the energy of formation from the pure elements: -1.068 eV per atom. Its space-group type is R3m, No. 160.

Unit cell a=4.206 b=4.206 c=7.710 alpha=90.00 beta=105.83 gamma=120.00
Positions (direct):
1 Tb 0.951 0.374 0.340
2 Tm 0.323 0.559 0.898
3 As 0.130 0.963 0.108
4 Bi 0.474 0.135 0.625

---

4.
A plane-wave DFT calculation with GGA-PBE was carried out for TbYBiAs after structural relaxation.

The value obtained for the total magnetic moment is 0.00 μB per formula unit. As for the energy of formation from the pure elements: -1.106 eV per atom. Its space-group type is R3m, No. 160.

Unit cell a=4.235 b=4.235 c=7.765 alpha=90.00 beta=105.83 gamma=120.00
Positions (direct):
1 As 0.133 0.964 0.112
2 Y 0.322 0.559 0.897
3 Bi 0.472 0.134 0.621
4 Tb 0.951 0.374 0.340

---

5.
A plane-wave DFT calculation with GGA-PBE was carried out for TcBi3As after structural relaxation.

The value obtained for the total magnetic moment is 3.14 μB per formula unit. The calculation puts the relative energy among the computed polymorphs at 0.662 eV/atom. As for the energy of formation from the pure elements: 1.276 eV per atom. Its space-group type is Pm-3m, No. 221.

Unit cell a=5.486 b=5.486 c=5.486 alpha=90.00 beta=90.00 gamma=90.00
Positions (direct):
1 Bi 0.000 0.000 0.500
2 Bi 0.500 0.000 0.000
3 Bi 0.000 0.500 0.000
4 Tc 0.500 0.500 0.500
5 As 0.000 0.000 0.000

---

6.
A plane-wave DFT calculation with GGA-PBE was carried out for Tc2BiAs2 after structural relaxation.

The value obtained for the total magnetic moment is 0.00 μB per formula unit. The calculation puts the relative energy among the computed polymorphs at 0.000 eV/atom. As for the energy of formation from the pure elements: 0.183 eV per atom. Its space-group type is P4/mbm, No. 127.

Unit cell a=7.566 b=7.566 c=3.120 alpha=90.00 beta=90.00 gamma=90.00
Positions (direct):
1 As 0.638 0.862 0.500
2 Tc 0.359 0.859 0.000
3 Bi 0.000 0.000 0.000
4 As 0.362 0.138 0.500
5 Tc 0.641 0.141 0.000
6 Tc 0.859 0.641 0.000
7 As 0.862 0.362 0.500
8 Bi 0.500 0.500 0.000
9 Tc 0.141 0.359 0.000
10 As 0.138 0.638 0.500

---

7.
A plane-wave DFT calculation with GGA-PBE was carried out for Tc2BiAs2 after structural relaxation.

The value obtained for the total magnetic moment is 0.00 μB per formula unit. The calculation puts the relative energy among the computed polymorphs at 0.015 eV/atom. As for the energy of formation from the pure elements: 0.198 eV per atom. Its space-group type is I4/mmm, No. 139.

Unit cell a=3.934 b=3.934 c=6.700 alpha=72.93 beta=72.93 gamma=90.00
Positions (direct):
1 As 0.250 0.750 0.500
2 Tc 0.378 0.378 0.244
3 Bi 0.000 0.000 0.000
4 Tc 0.622 0.622 0.756
5 As 0.750 0.250 0.500

---

8.
A plane-wave DFT calculation with GGA-PBE was carried out for TcBiAs after structural relaxation.

The value obtained for the total magnetic moment is 0.00 μB per formula unit. As for the energy of formation from the pure elements: 0.069 eV per atom. Its space-group type is P2_1/c, No. 14.

Unit cell a=6.761 b=6.549 c=6.406 alpha=110.51 beta=90.00 gamma=90.00
Positions (direct):
1 Tc 0.998 0.693 0.689
2 Bi 0.880 0.134 0.842
3 As 0.679 0.641 0.844
4 Tc 0.002 0.307 0.311
5 Bi 0.380 0.866 0.658
6 Tc 0.502 0.693 0.189
7 As 0.821 0.641 0.344
8 As 0.321 0.359 0.156
9 Bi 0.620 0.134 0.342
10 As 0.179 0.359 0.656
11 Tc 0.498 0.307 0.811
12 Bi 0.120 0.866 0.158

---

| no. | E (eV for the cell shown) |
| --- | --- |
| 1 | -43.7 |
| 2 | -68.3 |
| 3 | -21.9 |
| 4 | -24.0 |
| 5 | -20.3 |
| 6 | -66.0 |
| 7 | -32.9 |
| 8 | -74.8 |